# PmGa12Ni4, optimized geometry, DFT PBE
# - total magnetization (μB per atom) = 0.00
# - crystal system = cubic
# - energy relative to the elements (meV per atom) = -160.4
# - electronic total energy (eV for the cell shown) = -133.9
data_PmGa12Ni4
_symmetry_space_group_name_H-M 'I m -3'
_symmetry_Int_Tables_number 204
_symmetry_space_group_name_Hall '-I 2 2 3'
_cell_length_a 8.567
_cell_length_b 8.567
_cell_length_c 8.567
_cell_angle_alpha 90.00
_cell_angle_beta 90.00
_cell_angle_gamma 90.00
loop_
_atom_site_label
_atom_site_fract_x
_atom_site_fract_y
_atom_site_fract_z
Pm1 0.000 0.000 0.000
Ga1 0.000 0.173 0.339
Ni1 0.250 0.250 0.250